The following is a GGA-PBE calculation of a geometry-optimized Nd12Pt3N5 structure, from the Alexandria database.

Values from the calculation:
- Magnetic moment: 0.00 μB/f.u.
- ΔE_f (raw): -0.909 eV per atom
- E: -1081.13 eV for the cell shown

```
data_Nd12Pt3N5
_cell_length_a 15.852
_cell_length_b 15.852
_cell_length_c 15.852
_cell_angle_alpha 90.00
_cell_angle_beta 90.00
_cell_angle_gamma 90.00
_space_group_name_H-M_alt 'I a -3 d'
_space_group_IT_number 230
_space_group_name_Hall '-I 4bd 2c 3'
loop_
_atom_site_label
_atom_site_type_symbol
_atom_site_fract_x
_atom_site_fract_y
_atom_site_fract_z
Nd1 Nd 0.032 0.054 0.650
Pt1 Pt 0.000 0.250 0.125
N1 N 0.000 0.000 0.000
N2 N 0.000 0.250 0.375
```

=====

The following is a GGA-PBE calculation of a geometry-optimized Nd3PtN structure, from the Alexandria database.

Values from the calculation:
- Magnetic moment: 0.00 μB/f.u.
- ΔE_f (raw): -0.807 eV per atom
- Energy above the most stable polymorph in this dataset: 67.2 meV/atom
- E: -32.70 eV for the cell shown

```
data_Nd3PtN
_cell_length_a 4.918
_cell_length_b 4.918
_cell_length_c 4.918
_cell_angle_alpha 90.00
_cell_angle_beta 90.00
_cell_angle_gamma 90.00
_space_group_name_H-M_alt 'P m -3 m'
_space_group_IT_number 221
_space_group_name_Hall '-P 4 2 3'
loop_
_atom_site_label
_atom_site_type_symbol
_atom_site_fract_x
_atom_site_fract_y
_atom_site_fract_z
Nd1 Nd 0.000 0.000 0.500
Pt1 Pt 0.500 0.500 0.500
N1 N 0.000 0.000 0.000
```

=====

The following is a GGA-PBE calculation of a geometry-optimized Nd4PtN structure, from the Alexandria database.

Values from the calculation:
- Magnetic moment: 0.00 μB/f.u.
- ΔE_f (raw): -0.742 eV per atom
- E: -151.56 eV for the cell shown

```
data_Nd4PtN
_cell_length_a 8.222
_cell_length_b 14.167
_cell_length_c 6.464
_cell_angle_alpha 90.00
_cell_angle_beta 123.72
_cell_angle_gamma 90.00
_space_group_name_H-M_alt 'C 1 2/c 1'
_space_group_IT_number 15
loop_
_space_group_symop_operation_xyz
'x,y,z'
'-x,-y,-z'
'-x,y,-z+1/2'
'x,-y,z+1/2'
'x+1/2,y+1/2,z'
'-x+1/2,-y+1/2,-z'
'-x+1/2,y+1/2,-z+1/2'
'x+1/2,-y+1/2,z+1/2'
loop_
_atom_site_label
_atom_site_type_symbol
_atom_site_fract_x
_atom_site_fract_y
_atom_site_fract_z
Nd1 Nd 0.138 0.202 0.146
Nd2 Nd 0.237 0.044 0.711
Pt1 Pt 0.000 0.380 0.750
N1 N 0.000 0.062 0.250
```

=====

The following is a GGA-PBE calculation of a geometry-optimized Nd6Pt2N structure, from the Alexandria database.

Values from the calculation:
- Magnetic moment: 0.00 μB/f.u.
- ΔE_f (raw): -0.843 eV per atom
- E: -113.21 eV for the cell shown

```
data_Nd6Pt2N
_cell_length_a 6.662
_cell_length_b 7.307
_cell_length_c 11.911
_cell_angle_alpha 90.00
_cell_angle_beta 122.83
_cell_angle_gamma 90.00
_space_group_name_H-M_alt 'P 1 21/c 1'
_space_group_IT_number 14
loop_
_space_group_symop_operation_xyz
'x,y,z'
'-x,-y,-z'
'-x,y+1/2,-z+1/2'
'x,-y+1/2,z+1/2'
loop_
_atom_site_label
_atom_site_type_symbol
_atom_site_fract_x
_atom_site_fract_y
_atom_site_fract_z
Nd1 Nd 0.114 0.034 0.238
Nd2 Nd 0.232 0.692 0.060
Nd3 Nd 0.370 0.173 0.059
Pt1 Pt 0.304 0.102 0.752
N1 N 0.000 0.000 0.000
```

=====

The following is a GGA-PBE calculation of a geometry-optimized NdPu2PtN4 structure, from the Alexandria database.

Values from the calculation:
- Magnetic moment: 6.99 μB/f.u.
- ΔE_f (raw): -0.898 eV per atom
- E: -319.84 eV for the cell shown

```
data_NdPu2PtN4
_cell_length_a 3.647
_cell_length_b 11.688
_cell_length_c 11.756
_cell_angle_alpha 90.00
_cell_angle_beta 90.00
_cell_angle_gamma 90.00
_space_group_name_H-M_alt 'C m c m'
_space_group_IT_number 63
_space_group_name_Hall '-C 2c 2'
loop_
_atom_site_label
_atom_site_type_symbol
_atom_site_fract_x
_atom_site_fract_y
_atom_site_fract_z
Nd1 Nd 0.000 0.066 0.250
Pu1 Pu 0.000 0.367 0.060
Pt1 Pt 0.000 0.227 0.750
N1 N 0.000 0.000 0.000
N2 N 0.000 0.251 0.583
N3 N 0.000 0.438 0.250
```

=====

The following is a GGA-PBE calculation of a geometry-optimized NdPuN2 structure, from the Alexandria database.

Values from the calculation:
- Magnetic moment: 4.71 μB/f.u.
- ΔE_f (raw): -0.604 eV per atom
- E: -38.17 eV for the cell shown

```
data_NdPuN2
_cell_length_a 3.051
_cell_length_b 3.051
_cell_length_c 6.134
_cell_angle_alpha 90.00
_cell_angle_beta 90.00
_cell_angle_gamma 90.00
_space_group_name_H-M_alt 'P 4/m m m'
_space_group_IT_number 123
_space_group_name_Hall '-P 4 2'
loop_
_atom_site_label
_atom_site_type_symbol
_atom_site_fract_x
_atom_site_fract_y
_atom_site_fract_z
Nd1 Nd 0.000 0.000 0.000
Pu1 Pu 0.000 0.000 0.500
N1 N 0.500 0.500 0.263
```